No. 1
Density functional theory data (PBE) for a relaxed structure of AcSn2Bi.

## Properties
Calculated volume, Å³/cell: 131.3
Formation energy from the elements, meV/atom: -296
Distance to the lowest polymorph of the same formula, meV per atom: 203

extended XYZ file:
```
4
Lattice="-0.7112 0.5361 5.3088 1.9119 -3.7429 3.3632 4.9202 1.5466 3.2320" Properties=species:S:1:pos:R:3 pbc="T T T"
Ac 3.0605 -0.8301 5.9520
Sn 1.2138 -0.5981 2.9521
Sn 4.9071 -1.0621 8.9519
Bi 0.0000 0.0000 0.0000
```



No. 2
Density functional theory data (PBE) for a relaxed structure of AcSn2Bi.

## Properties
Calculated volume, Å³/cell: 127.1
Formation energy from the elements, meV/atom: -332
Distance to the lowest polymorph of the same formula, meV per atom: 168

extended XYZ file:
```
4
Lattice="-0.7038 -2.5673 -3.3463 0.7393 -3.4151 2.4646 -6.7514 -0.2812 1.6356" Properties=species:S:1:pos:R:3 pbc="T T T"
Ac 0.0178 -2.9912 -0.4408
Sn -4.8448 -0.2018 1.1737
Sn -1.9066 -0.0794 0.4619
Bi -3.3579 -3.1318 0.3770
```